(1)
Density functional theory data (GGA-PBEsol) for crystalline TcTeRu at its relaxed geometry.

## Properties
E_form (uncorrected), eV per atom: 0.472

Cell lengths 3.023, 3.969, 8.002 Å; angles 90.00, 90.00, 90.00 degrees
Space group Imm2 (No. 44)
Asymmetric unit:
Tc 0.000 0.000 0.000
Te 0.000 0.000 0.675
Ru 0.000 0.000 0.351

(2)
Density functional theory data (GGA-PBEsol) for crystalline TcTe2Ru at its relaxed geometry.

## Properties
E_form (uncorrected), eV per atom: 0.813
Offset from the most stable computed form, meV/atom: 485

Cell lengths 3.238, 5.395, 8.488 Å; angles 90.00, 90.00, 90.00 degrees
Space group Immm (No. 71)
Asymmetric unit:
Tc 0.000 0.000 0.000
Te 0.000 0.500 0.245
Ru 0.000 0.000 0.500

(3)
Density functional theory data (GGA-PBEsol) for crystalline TcTe2Ru at its relaxed geometry.

## Properties
E_form (uncorrected), eV per atom: 0.822
Offset from the most stable computed form, meV/atom: 494

Cell lengths 3.271, 5.412, 8.410 Å; angles 90.00, 90.00, 90.00 degrees
Space group Cmmm (No. 65)
Asymmetric unit:
Tc 0.000 0.000 0.000
Te 0.000 0.500 0.251
Ru 0.000 0.000 0.500

(4)
Density functional theory data (GGA-PBEsol) for crystalline Tc2TeRu at its relaxed geometry.

## Properties
E_form (uncorrected), eV per atom: 0.499

Cell lengths 2.9255, 2.9255, 25.2060 Å; angles 90.00, 90.00, 120.00 degrees
Space group R-3m (No. 166, hexagonal axes)
Asymmetric unit:
Tc 0.0000 0.0000 0.2482
Te 0.0000 0.0000 0.0000
Ru 0.0000 0.0000 0.5000

(5)
Density functional theory data (GGA-PBEsol) for crystalline TlTcRu2 at its relaxed geometry.

## Properties
E, Ry/atom: -0.5833

Cell lengths 6.281, 6.281, 6.281 Å; angles 90.00, 90.00, 90.00 degrees
Space group Fm-3m (No. 225)
Asymmetric unit:
Tl 0.000 0.000 0.000
Tc 0.000 0.000 0.500
Ru 0.250 0.250 0.250

(6)
Density functional theory data (GGA-PBEsol) for crystalline V2TcRu at its relaxed geometry.

## Properties
E, Ry/atom: -0.7706

Cell lengths 5.951, 5.951, 5.951 Å; angles 90.00, 90.00, 90.00 degrees
Space group Fm-3m (No. 225)
Asymmetric unit:
V 0.250 0.250 0.250
Tc 0.000 0.000 0.000
Ru 0.000 0.000 0.500

(7)
Density functional theory data (GGA-PBEsol) for crystalline TcRu2W at its relaxed geometry.

## Properties
Offset from the most stable computed form, meV/atom: 0

Cell lengths 3.836, 3.836, 3.823 Å; angles 90.00, 90.00, 90.00 degrees
Space group P4/mmm (No. 123)
Asymmetric unit:
Tc 0.000 0.000 0.000
Ru 0.000 0.500 0.500
W 0.500 0.500 0.000

(8)
Density functional theory data (GGA-PBEsol) for crystalline TcRu2W at its relaxed geometry.

## Properties
Offset from the most stable computed form, meV/atom: 39

Cell lengths 3.818, 3.818, 7.729 Å; angles 90.00, 90.00, 90.00 degrees
Space group I-4m2 (No. 119)
Asymmetric unit:
Tc 0.000 0.000 0.000
Ru 0.000 0.000 0.500
Ru 0.000 0.500 0.750
W 0.000 0.500 0.250

(9)
Density functional theory data (GGA-PBEsol) for crystalline Tc2RuW at its relaxed geometry.

## Properties
Offset from the most stable computed form, meV/atom: 246

Cell lengths 6.130, 6.130, 6.130 Å; angles 90.00, 90.00, 90.00 degrees
Space group F-43m (No. 216)
Asymmetric unit:
Tc 0.000 0.000 0.000
Tc 0.250 0.250 0.250
Ru 0.000 0.000 0.500
W 0.250 0.250 0.750

(10)
Density functional theory data (GGA-PBEsol) for crystalline Tc2RuW at its relaxed geometry.

## Properties
Offset from the most stable computed form, meV/atom: 0

Cell lengths 3.835, 3.835, 3.881 Å; angles 90.00, 90.00, 90.00 degrees
Space group P4/mmm (No. 123)
Asymmetric unit:
Tc 0.000 0.500 0.000
Ru 0.000 0.000 0.500
W 0.500 0.500 0.500

(11)
Density functional theory data (GGA-PBEsol) for crystalline TcRu2W at its relaxed geometry.

## Properties
Offset from the most stable computed form, meV/atom: 23

Cell lengths 5.425, 7.630, 2.720 Å; angles 90.00, 90.00, 90.00 degrees
Space group Cmmm (No. 65)
Asymmetric unit:
Tc 0.000 0.000 0.000
Ru 0.250 0.250 0.500
W 0.000 0.500 0.000

(12)
Density functional theory data (GGA-PBEsol) for crystalline TcRuW2 at its relaxed geometry.

## Properties
Offset from the most stable computed form, meV/atom: 40

Cell lengths 3.099, 3.099, 6.233 Å; angles 90.00, 90.00, 90.00 degrees
Space group P4mm (No. 99)
Asymmetric unit:
Tc 0.000 0.000 0.000
Ru 0.500 0.500 0.711
W 0.000 0.000 0.486
W 0.500 0.500 0.222